1.
First-principles (GGA-PBE) data for Zr2FeP after structural relaxation, as listed in Alexandria.

Results
Energy relative to the elements = -0.1519 eV/atom
Crystal system = tetragonal
DFT total energy = -7.89 eV/atom
SG = I-42d
Total magnetization = 2.84 μB/cell
Density of states at the Fermi level = 8.516 states/eV/cell

Cell: 7.0097 7.0097 5.7648 Å, 52.56 52.56 90.00°
With the nearest neighbours (Å) after each atom.
Element x y z (fractional)
P 0.2500 0.7500 0.5000  4 Zr 2.60
P 0.5000 0.5000 0.0000  4 Zr 2.60
Zr 0.6279 0.1250 0.2500  2 Fe 2.57, 2 P 2.60
Zr 0.3750 0.3721 0.7500  2 Fe 2.57, 2 P 2.60
Zr 0.8750 0.8779 0.7500  2 Fe 2.57, 2 P 2.60
Zr 0.1221 0.6250 0.2500  2 Fe 2.57, 2 P 2.60
Fe 0.7500 0.2500 0.5000  4 Zr 2.57
Fe 0.0000 0.0000 0.0000  4 Zr 2.57

---

2.
First-principles (GGA-PBE) data for GaHPd3 after structural relaxation, as listed in Alexandria.

Results
Crystal system = trigonal
DFT total energy = -4.70 eV/atom
SG = R-3
Total magnetization = 0.00 μB/cell
ΔE to the lowest computed polymorph = 137 meV per atom
Density of states at the Fermi level = 3.997 states/eV/cell

Cell: 6.9098 6.9098 6.9098 Å, 42.33 42.33 42.33°
With the nearest neighbours (Å) after each atom.
Element x y z (fractional)
Pd 0.1031 0.7657 0.4430  1 H 1.79
Pd 0.8969 0.2343 0.5570  1 H 1.79
Pd 0.5570 0.8969 0.2343  1 H 1.79
Pd 0.4430 0.1031 0.7657  1 H 1.79
Pd 0.2343 0.5570 0.8969  1 H 1.79
Pd 0.7657 0.4430 0.1031  1 H 1.79
Ga 0.6664 0.6664 0.6664  6 Pd 2.56
Ga 0.3336 0.3336 0.3336  6 Pd 2.56
H 0.9279 0.9279 0.9279  3 Pd 1.79
H 0.0721 0.0721 0.0721  3 Pd 1.79

---

3.
First-principles (GGA-PBE) data for Y3HoEr after structural relaxation, as listed in Alexandria.

Results
Energy relative to the elements = 0.0476 eV/atom
Crystal system = triclinic
DFT total energy = -5.66 eV/atom
SG = P-1
Total magnetization = 0.01 μB/cell
ΔE to the lowest computed polymorph = 48 meV per atom
Density of states at the Fermi level = 17.625 states/eV/cell

Cell: 3.5253 9.7498 12.1343 Å, 110.65 90.04 122.83°
With the nearest neighbours (Å) after each atom.
Element x y z (fractional)
Y 0.9736 0.1493 0.4470  5 Y 3.45-3.66, 4 Ho 3.57-3.69, 3 Er 3.62-3.66
Y 0.7803 0.3531 0.0484  4 Y 3.09-3.46, 1 Ho 3.38
Y 0.2197 0.6469 0.9516  4 Y 3.09-3.46, 1 Ho 3.38
Y 0.8639 0.0751 0.1457  8 Y 3.30-3.67, 2 Ho 3.56, 2 Er 3.69
Y 0.1361 0.9249 0.8543  8 Y 3.30-3.67, 2 Ho 3.56, 2 Er 3.69
Y 0.0264 0.8507 0.5530  5 Y 3.45-3.66, 4 Ho 3.57-3.69, 3 Er 3.62-3.66
Ho 0.0560 0.5384 0.6506  7 Y 3.38-3.69, 3 Ho 3.44-3.53, 2 Er 3.68
Ho 0.9440 0.4616 0.3494  7 Y 3.38-3.69, 3 Ho 3.44-3.53, 2 Er 3.68
Er 0.1216 0.2483 0.7671  2 Er 3.53, 9 Y 3.56-3.69, 2 Ho 3.68
Er 0.8784 0.7517 0.2329  2 Er 3.53, 9 Y 3.56-3.69, 2 Ho 3.68

---

4.
First-principles (GGA-PBE) data for Na3Pm2PaTe6 after structural relaxation, as listed in Alexandria.

Results
Crystal system = monoclinic
DFT total energy = -4.64 eV/atom
SG = C2/m
Total magnetization = 1.81 μB/cell
Density of states at the Fermi level = 9.310 states/eV/cell

Cell: 7.7260 7.7260 8.0560 Å, 99.20 99.20 120.00°
With the nearest neighbours (Å) after each atom.
Element x y z (fractional)
Na 0.1688 0.8312 0.5000  6 Te 3.24-3.27
Na 0.5000 0.5000 0.5000  6 Te 3.24-3.29
Na 0.8312 0.1688 0.5000  6 Te 3.24-3.27
Te 0.0796 0.4074 0.2393  1 Pa 3.12, 2 Pm 3.18, 3 Na 3.24-3.27
Te 0.7524 0.7524 0.2392  1 Pa 3.12, 2 Pm 3.17, 3 Na 3.26-3.29
Te 0.2476 0.2476 0.7608  1 Pa 3.12, 2 Pm 3.17, 3 Na 3.26-3.29
Te 0.4074 0.0796 0.2393  1 Pa 3.12, 2 Pm 3.18, 3 Na 3.24-3.27
Te 0.9204 0.5926 0.7607  1 Pa 3.12, 2 Pm 3.18, 3 Na 3.24-3.27
Te 0.5926 0.9204 0.7607  1 Pa 3.12, 2 Pm 3.18, 3 Na 3.24-3.27
Pm 0.6664 0.3336 0.0000  6 Te 3.17-3.18
Pm 0.3336 0.6664 0.0000  6 Te 3.17-3.18
Pa 0.0000 0.0000 0.0000  6 Te 3.12

---

5.
First-principles (GGA-PBE) data for Na8As2S after structural relaxation, as listed in Alexandria.

Results
Crystal system = monoclinic
DFT total energy = -2.74 eV/atom
SG = C2/m
Total magnetization = 0.00 μB/cell
Density of states at the Fermi level = 0.598 states/eV/cell

Cell: 4.9304 6.8023 9.0107 Å, 111.41 105.88 90.00°
With the nearest neighbours (Å) after each atom.
Element x y z (fractional)
Na 0.7834 0.6960 0.5667  3 As 2.96-3.16, 2 Na 3.02-3.18
Na 0.9844 0.2248 0.9689  1 As 2.95, 2 S 2.97, 3 Na 3.14-3.30
Na 0.5992 0.4264 0.1984  1 S 2.75, 2 As 2.97, 1 Na 3.02
Na 0.2166 0.3040 0.4333  3 As 2.96-3.16, 2 Na 3.02-3.18
Na 0.3380 0.0519 0.6760  1 S 2.96, 3 As 3.10-3.11, 2 Na 3.18-3.29
Na 0.6620 0.9481 0.3240  1 S 2.96, 3 As 3.10-3.11, 2 Na 3.18-3.29
Na 0.0156 0.7752 0.0311  1 As 2.95, 2 S 2.97, 3 Na 3.14-3.30
Na 0.4008 0.5736 0.8016  1 S 2.75, 2 As 2.97, 1 Na 3.02
As 0.8333 0.3256 0.6666  9 Na 2.95-3.16
As 0.1667 0.6744 0.3334  9 Na 2.95-3.16
S 0.5000 0.0000 0.0000  8 Na 2.75-2.97

---

6.
First-principles (GGA-PBE) data for Na3Np2TiS6 after structural relaxation, as listed in Alexandria.

Results
Crystal system = monoclinic
DFT total energy = -6.55 eV/atom
SG = C2/m
Total magnetization = 9.00 μB/cell
Density of states at the Fermi level = 21.404 states/eV/cell

Cell: 6.6838 6.6838 7.0675 Å, 99.09 99.09 120.04°
With the nearest neighbours (Å) after each atom.
Element x y z (fractional)
Np 0.3334 0.6666 0.0000  6 S 2.73-2.74
Np 0.6666 0.3334 0.0000  6 S 2.73-2.74
Ti 0.0000 0.0000 0.0000  6 S 2.57-2.58
Na 0.1678 0.8322 0.5000  6 S 2.86-2.99
Na 0.5000 0.5000 0.5000  6 S 2.86-3.01
Na 0.8322 0.1678 0.5000  6 S 2.86-2.99
S 0.7592 0.7592 0.2212  1 Ti 2.57, 2 Np 2.73, 2 Na 2.87
S 0.9257 0.6105 0.7771  1 Ti 2.58, 2 Np 2.74, 2 Na 2.86
S 0.2408 0.2408 0.7788  1 Ti 2.57, 2 Np 2.73, 2 Na 2.87
S 0.3895 0.0743 0.2229  1 Ti 2.58, 2 Np 2.74, 2 Na 2.86
S 0.6105 0.9257 0.7771  1 Ti 2.58, 2 Np 2.74, 2 Na 2.86
S 0.0743 0.3895 0.2229  1 Ti 2.58, 2 Np 2.74, 2 Na 2.86

---

7.
First-principles (GGA-PBE) data for SmY3Ho4S8 after structural relaxation, as listed in Alexandria.

Results
Crystal system = trigonal
DFT total energy = -6.70 eV/atom
SG = R-3m
Total magnetization = 0.00 μB/cell
Density of states at the Fermi level = 9.060 states/eV/cell

Cell: 7.8239 7.8322 7.8241 Å, 119.96 120.00 90.00°
With the nearest neighbours (Å) after each atom.
Element x y z (fractional)
S 0.2488 0.2465 0.4977  3 Ho 2.75, 3 Y 2.78
S 0.2541 0.7565 0.5082  3 Ho 2.72-2.75, 2 Y 2.78, 1 Sm 2.81
S 0.7483 0.7565 0.0024  3 Ho 2.72-2.76, 2 Y 2.78, 1 Sm 2.81
S 0.2541 0.7565 0.0024  3 Ho 2.72-2.76, 2 Y 2.78, 1 Sm 2.81
S 0.7512 0.7535 0.5023  3 Ho 2.75, 3 Y 2.78
S 0.2517 0.2435 0.9976  3 Ho 2.72-2.76, 2 Y 2.78, 1 Sm 2.81
S 0.7459 0.2435 0.4918  3 Ho 2.72-2.75, 2 Y 2.78, 1 Sm 2.81
S 0.7459 0.2435 0.9976  3 Ho 2.72-2.76, 2 Y 2.78, 1 Sm 2.81
Ho 0.0000 0.0000 0.0000  6 S 2.75
Ho 0.0000 0.0000 0.5000  6 S 2.75-2.76
Ho 0.5000 0.0000 0.0000  6 S 2.72
Ho 0.5000 0.0000 0.5000  6 S 2.75-2.76
Y 0.5000 0.5000 0.5000  6 S 2.78
Y 0.5000 0.5000 0.0000  6 S 2.78
Y 0.0000 0.5000 0.5000  6 S 2.78
Sm 0.0000 0.5000 0.0000  6 S 2.81

---

8.
First-principles (GGA-PBE) data for Tb2ErCd3 after structural relaxation, as listed in Alexandria.

Results
Energy relative to the elements = -0.3177 eV/atom
Crystal system = tetragonal
DFT total energy = -3.08 eV/atom
SG = P4/mmm
Total magnetization = 0.06 μB/cell
Density of states at the Fermi level = 6.696 states/eV/cell

Cell: 3.7447 3.7447 11.2335 Å, 90.00 90.00 90.00°
With the nearest neighbours (Å) after each atom.
Element x y z (fractional)
Er 0.5000 0.5000 0.5000  8 Cd 3.22
Tb 0.5000 0.5000 0.1678  8 Cd 3.25-3.26
Tb 0.5000 0.5000 0.8322  8 Cd 3.25-3.26
Cd 0.0000 0.0000 0.3373  4 Er 3.22, 4 Tb 3.26
Cd 0.0000 0.0000 0.0000  8 Tb 3.25
Cd 0.0000 0.0000 0.6627  4 Er 3.22, 4 Tb 3.26

---

9.
First-principles (GGA-PBE) data for ScSbRu2 after structural relaxation, as listed in Alexandria.

Results
Crystal system = orthorhombic
DFT total energy = -7.49 eV/atom
SG = Pmm2
Total magnetization = 0.00 μB/cell
Density of states at the Fermi level = 2.183 states/eV/cell

Cell: 4.0788 3.1326 6.2245 Å, 59.83 90.00 90.00°
With the nearest neighbours (Å) after each atom.
Element x y z (fractional)
Sc 0.5000 0.7174 0.7830  6 Ru 2.65-2.77
Sb 0.0000 0.5307 0.4690  6 Ru 2.67-2.78
Ru 0.0000 0.0270 0.9730  2 Sb 2.67-2.71, 4 Sc 2.77
Ru 0.5000 0.2248 0.2750  2 Sc 2.65-2.73, 4 Sb 2.77-2.78

---

10.
First-principles (GGA-PBE) data for La2TlVP after structural relaxation, as listed in Alexandria.

Results
Energy relative to the elements = 0.2435 eV/atom
Crystal system = tetragonal
DFT total energy = -5.11 eV/atom
SG = P4/mmm
Total magnetization = 0.96 μB/cell
Density of states at the Fermi level = 6.081 states/eV/cell

Cell: 5.2346 5.1032 5.2346 Å, 90.00 90.00 90.00°
With the nearest neighbours (Å) after each atom.
Element x y z (fractional)
V 0.0000 0.0000 0.0000  2 Tl 2.55, 4 La 2.62
Tl 0.0000 0.5000 0.0000  2 V 2.55
P 0.5000 0.5000 0.5000  8 La 3.66, 4 Tl 3.70
La 0.5000 0.0000 0.0000  2 V 2.62
La 0.0000 0.0000 0.5000  2 V 2.62

---

11.
First-principles (GGA-PBE) data for P2PtSeCl after structural relaxation, as listed in Alexandria.

Results
Crystal system = tetragonal
DFT total energy = -3.84 eV/atom
SG = P4/mmm
Total magnetization = 0.00 μB/cell
ΔE to the lowest computed polymorph = 0 meV per atom
Density of states at the Fermi level = 3.649 states/eV/cell

Cell: 4.7076 4.7076 4.8013 Å, 90.00 90.00 90.00°
With the nearest neighbours (Å) after each atom.
Element x y z (fractional)
P 0.0000 0.5000 0.0000  2 Pt 2.35
P 0.5000 0.0000 0.0000  2 Pt 2.35
Se 0.5000 0.5000 0.5000  4 Cl 3.33, 8 P 3.36
Cl 0.0000 0.0000 0.5000  2 Pt 2.40
Pt 0.0000 0.0000 0.0000  4 P 2.35, 2 Cl 2.40

---

12.
First-principles (GGA-PBE) data for TiNb2CdC after structural relaxation, as listed in Alexandria.

Results
Energy relative to the elements = -0.2142 eV/atom
Crystal system = tetragonal
DFT total energy = -7.85 eV/atom
SG = P4/mmm
Total magnetization = 0.00 μB/cell
Density of states at the Fermi level = 2.533 states/eV/cell

Cell: 4.3568 4.3568 4.2400 Å, 90.00 90.00 90.00°
With the nearest neighbours (Å) after each atom.
Element x y z (fractional)
Cd 0.5000 0.5000 0.5000  8 Nb 3.04, 4 Ti 3.08
Ti 0.0000 0.0000 0.5000  2 C 2.12
Nb 0.5000 0.0000 0.0000  2 C 2.18
Nb 0.0000 0.5000 0.0000  2 C 2.18
C 0.0000 0.0000 0.0000  2 Ti 2.12, 4 Nb 2.18

---

Which of these has the lowest density of states at the Fermi level? Na8As2S